No. 1
Below is crystalline Dy2Mg8Sc at its relaxed geometry, with properties calculated at the PBE-GGA level.

Cell lengths 4.9614, 7.1956, 8.3024 Å; angles 106.79, 107.39, 90.00 degrees
Sites, in units of the cell vectors:
Dy 0.2227 0.6436 0.4453
Mg 0.9733 0.2772 0.9466
Dy 0.7773 0.3564 0.5547
Mg 0.1401 0.1483 0.2801
Sc 0.5000 0.0000 0.0000
Mg 0.5877 0.4517 0.1754
Mg 0.0267 0.7228 0.0534
Mg 0.8599 0.8517 0.7199
Mg 0.4123 0.5483 0.8246
Mg 0.3284 0.1092 0.6568
Mg 0.6716 0.8908 0.3431

Values from the calculation:
ΔE_f in meV per atom: -24
DOS(E_F) in states/eV/f.u.: 6.50
Space group: C2/m (12)
ρ in g cm⁻³: 3.48

---

No. 2
Below is crystalline CrInIr at its relaxed geometry, with properties calculated at the PBE-GGA level.

Cell lengths 6.1060, 6.1062, 2.8602 Å; angles 76.45, 76.46, 27.09 degrees
Each line ends with the local moment (μB).
Sites, in units of the cell vectors:
Ir 0.3519 0.3519 0.6481  -0.06
In 0.6637 0.6637 0.3363  -0.01
Cr 0.9844 0.9844 0.0156  0.53

Values from the calculation:
ΔE_f in meV per atom: 65
DOS(E_F) in states/eV/f.u.: 3.10
Space group: I4mm (107)
ρ in g cm⁻³: 12.65